Record 1
Density functional theory data (PBE) for an optimized crystal structure of TaAg2B.

a = 7.3264 Å, b = 7.3264 Å, c = 5.6990 Å
α = 50.00°, β = 50.00°, γ = 90.00°
Fractional positions:
B: 0.5000 0.5000 0.0000
B: 0.2500 0.7500 0.5000
Ag: 0.5377 0.1250 0.2500
Ag: 0.2123 0.6250 0.2500
Ag: 0.3750 0.4623 0.7500
Ag: 0.8750 0.7877 0.7500
Ta: 0.0000 0.0000 0.0000
Ta: 0.7500 0.2500 0.5000

Values from the calculation:
ΔH_f (0 K), eV per atom: 0.789
Total magnetization, μB/cell: 0.000
Crystal system: tetragonal
Fermi-level density of states, states/eV per cell: 6.1
Calculated total energy, eV per atom: -5.269
Space-group type: I-42d (122)

=====

Record 2
Density functional theory data (PBE) for an optimized crystal structure of CsZn2AsH2.

a = 5.0934 Å, b = 7.8350 Å, c = 7.9325 Å
α = 119.29°, β = 90.00°, γ = 90.00°
Fractional positions:
Cs: 0.7500 0.3190 0.6839
Cs: 0.2500 0.6810 0.3161
Zn: 0.5000 0.1628 0.1735
Zn: 0.0000 0.1628 0.1735
Zn: 0.0000 0.8372 0.8265
Zn: 0.5000 0.8372 0.8265
As: 0.2500 0.1446 0.8850
As: 0.7500 0.8554 0.1150
H: 0.2500 0.2333 0.3512
H: 0.2500 0.6561 0.7357
H: 0.7500 0.7667 0.6488
H: 0.7500 0.3439 0.2643

Values from the calculation:
Total magnetization, μB/cell: 0.000
Crystal system: monoclinic
Fermi-level density of states, states/eV per cell: 0.0
Calculated total energy, eV per atom: -2.676
Space-group type: P2_1/m (11)

=====

Record 3
Density functional theory data (PBE) for an optimized crystal structure of LiZnAg4.

a = 5.4923 Å, b = 5.4923 Å, c = 5.4923 Å
α = 60.00°, β = 60.00°, γ = 60.00°
Fractional positions:
Li: 0.7500 0.7500 0.7500
Zn: 0.0000 0.0000 0.0000
Ag: 0.8751 0.3750 0.3750
Ag: 0.3750 0.3750 0.8751
Ag: 0.3750 0.8751 0.3750
Ag: 0.3750 0.3750 0.3750

Values from the calculation:
ΔH_f (0 K), eV per atom: 0.062
Total magnetization, μB/cell: 0.000
ΔE to the lowest computed polymorph, meV/atom: 170.7
Crystal system: cubic
Fermi-level density of states, states/eV per cell: 1.8
Calculated total energy, eV per atom: -2.370
Space-group type: F-43m (216)